# 1
Density functional theory data (PBE) for a relaxed CoBiH3 crystal.

Calculated values
Fermi-level density of states	3.09	states/eV/cell
calculated total energy	-3.015	eV per atom
space-group type	Pm-3m

Cell: 4.154 4.154 4.154 Å, 90.00 90.00 90.00°
Element x y z (fractional)
1 Co 0.000 0.000 0.000
2 Bi 0.500 0.500 0.500
3 H 0.000 0.500 0.500
4 H 0.500 0.000 0.500
5 H 0.500 0.500 0.000

# 2
Density functional theory data (PBE) for a relaxed CoBiH2 crystal.

Calculated values
Fermi-level density of states	0.92	states/eV/cell
calculated total energy	-4.130	eV per atom
space-group type	I4_1/amd

Cell: 5.579 5.579 5.579 Å, 131.94 131.94 70.33°
Element x y z (fractional)
1 Co 0.375 0.625 0.750
2 Co 0.625 0.375 0.250
3 Bi 0.125 0.875 0.250
4 Bi 0.875 0.125 0.750
5 H 0.000 0.500 0.500
6 H 0.500 0.000 0.000
7 H 0.500 0.500 0.000
8 H 0.500 0.500 0.500

# 3
Density functional theory data (PBE) for a relaxed CoBiH crystal.

Calculated values
Fermi-level density of states	4.77	states/eV/cell
calculated total energy	-4.199	eV per atom
space-group type	P4/nmm

Cell: 3.864 3.864 7.050 Å, 90.00 90.00 90.00°
Element x y z (fractional)
1 Co 0.250 0.750 0.000
2 Co 0.750 0.250 0.000
3 Bi 0.250 0.250 0.236
4 Bi 0.750 0.750 0.764
5 H 0.250 0.250 0.500
6 H 0.750 0.750 0.500

# 4
Density functional theory data (PBE) for a relaxed CoBiH crystal.

Calculated values
Fermi-level density of states	4.03	states/eV/cell
calculated total energy	-4.531	eV per atom
space-group type	C2/m

Cell: 5.123 5.123 5.388 Å, 98.77 98.77 36.87°
Element x y z (fractional)
1 Co 0.106 0.106 0.203
2 Co 0.894 0.894 0.797
3 Bi 0.161 0.161 0.720
4 Bi 0.839 0.839 0.280
5 H 0.433 0.433 0.793
6 H 0.567 0.567 0.207

# 5
Density functional theory data (PBE) for a relaxed K2CoBiH crystal.

Calculated values
Fermi-level density of states	10.89	states/eV/cell
calculated total energy	-2.515	eV per atom
space-group type	P4/mmm

Cell: 6.898 6.898 3.996 Å, 90.00 90.00 90.00°
Element x y z (fractional)
1 K 0.000 0.500 0.000
2 K 0.500 0.000 0.000
3 Co 0.000 0.000 0.500
4 Bi 0.500 0.500 0.000
5 H 0.500 0.500 0.500

# 6
Density functional theory data (PBE) for a relaxed Li2CoBiH crystal.

Calculated values
Fermi-level density of states	2.17	states/eV/cell
calculated total energy	-3.735	eV per atom
space-group type	P4/mmm

Cell: 4.050 4.050 3.874 Å, 90.00 90.00 90.00°
Element x y z (fractional)
1 Li 0.000 0.500 0.000
2 Li 0.500 0.000 0.000
3 Co 0.000 0.000 0.500
4 Bi 0.500 0.500 0.500
5 H 0.000 0.000 0.000